#a
A geometry-optimized Ce3Ga4Pd4 structure. Source: Alexandria, functional PBE.

## Properties
- SG = Immm (71)
- calculated volume (Å³/atom) = 19.9

a = 8.297 Å, b = 8.297 Å, c = 8.297 Å
α = 150.23°, β = 128.90°, γ = 60.26°
Fractional coordinates of all 11 atoms:
Ce 0.000 0.000 0.000
Ce 0.373 0.873 0.500
Ce 0.627 0.127 0.500
Ga 0.022 0.327 0.695
Ga 0.367 0.673 0.695
Ga 0.633 0.327 0.305
Ga 0.978 0.673 0.305
Pd 0.214 0.214 0.000
Pd 0.300 0.500 0.800
Pd 0.700 0.500 0.200
Pd 0.786 0.786 0.000



#b
A geometry-optimized Ce3Ga4Pd4 structure. Source: Alexandria, functional PBE.

## Properties
- SG = Immm (71)
- calculated volume (Å³/atom) = 19.8

a = 8.295 Å, b = 8.295 Å, c = 8.295 Å
α = 150.42°, β = 128.72°, γ = 60.32°
Fractional coordinates of all 11 atoms:
Ce 0.000 0.000 0.000
Ce 0.371 0.871 0.500
Ce 0.629 0.129 0.500
Ga 0.215 0.215 0.000
Ga 0.314 0.500 0.814
Ga 0.686 0.500 0.186
Ga 0.785 0.785 0.000
Pd 0.028 0.325 0.702
Pd 0.377 0.675 0.702
Pd 0.623 0.325 0.298
Pd 0.972 0.675 0.298



Verdict on stability: #a comes out on top.



#a
A geometry-optimized CeGaPd6 structure. Source: Alexandria, functional PBE.

## Properties
- SG = P4/mmm (123)
- calculated volume (Å³/atom) = 16.5

a = 4.090 Å, b = 4.090 Å, c = 7.908 Å
α = 90.00°, β = 90.00°, γ = 90.00°
Fractional coordinates of all 8 atoms:
Ce 0.000 0.000 0.000
Ga 0.000 0.000 0.500
Pd 0.000 0.500 0.263
Pd 0.000 0.500 0.737
Pd 0.500 0.000 0.263
Pd 0.500 0.000 0.737
Pd 0.500 0.500 0.000
Pd 0.500 0.500 0.500



#b
A geometry-optimized CeGaPd6 structure. Source: Alexandria, functional PBE.

## Properties
- SG = R-3m (166)
- calculated volume (Å³/atom) = 20.9

a = 7.182 Å, b = 7.182 Å, c = 7.182 Å
α = 44.76°, β = 44.76°, γ = 44.76°
Fractional coordinates of all 8 atoms:
Ce 0.000 0.000 0.000
Ga 0.500 0.500 0.500
Pd 0.063 0.574 0.574
Pd 0.426 0.426 0.937
Pd 0.426 0.937 0.426
Pd 0.574 0.063 0.574
Pd 0.574 0.574 0.063
Pd 0.937 0.426 0.426



Verdict on stability: #a comes out on top.



#a
A geometry-optimized CeGa3Pd3 structure. Source: Alexandria, functional PBE.

## Properties
- SG = R-3 (148)
- calculated volume (Å³/atom) = 18.4

a = 7.449 Å, b = 7.449 Å, c = 7.449 Å
α = 54.89°, β = 54.89°, γ = 54.89°
Fractional coordinates of all 14 atoms:
Ce 0.160 0.160 0.160
Ce 0.840 0.840 0.840
Ga 0.043 0.598 0.237
Ga 0.237 0.043 0.598
Ga 0.402 0.763 0.957
Ga 0.598 0.237 0.043
Ga 0.763 0.957 0.402
Ga 0.957 0.402 0.763
Pd 0.195 0.676 0.421
Pd 0.324 0.579 0.805
Pd 0.421 0.195 0.676
Pd 0.579 0.805 0.324
Pd 0.676 0.421 0.195
Pd 0.805 0.324 0.579



#b
A geometry-optimized CeGa3Pd3 structure. Source: Alexandria, functional PBE.

## Properties
- SG = Pm-3n (223)
- calculated volume (Å³/atom) = 22.7

a = 6.823 Å, b = 6.823 Å, c = 6.823 Å
α = 90.00°, β = 90.00°, γ = 90.00°
Fractional coordinates of all 14 atoms:
Ce 0.000 0.000 0.000
Ce 0.500 0.500 0.500
Ga 0.000 0.250 0.500
Ga 0.000 0.750 0.500
Ga 0.250 0.500 0.000
Ga 0.500 0.000 0.250
Ga 0.500 0.000 0.750
Ga 0.750 0.500 0.000
Pd 0.000 0.500 0.250
Pd 0.000 0.500 0.750
Pd 0.250 0.000 0.500
Pd 0.500 0.250 0.000
Pd 0.500 0.750 0.000
Pd 0.750 0.000 0.500



Verdict on stability: #a comes out on top.



#a
A geometry-optimized CePuGaPd structure. Source: Alexandria, functional PBE.

## Properties
- SG = F-43m (216)
- calculated volume (Å³/atom) = 20.6

a = 4.886 Å, b = 4.886 Å, c = 4.886 Å
α = 60.00°, β = 60.00°, γ = 60.00°
Fractional coordinates of all 4 atoms:
Ce 0.000 0.000 0.000
Pu 0.250 0.250 0.250
Ga 0.500 0.500 0.500
Pd 0.750 0.750 0.750



#b
A geometry-optimized CePuGaPd structure. Source: Alexandria, functional PBE.

## Properties
- SG = P3m1 (156)
- calculated volume (Å³/atom) = 25.5

a = 4.797 Å, b = 4.797 Å, c = 5.120 Å
α = 90.00°, β = 90.00°, γ = 120.00°
Fractional coordinates of all 4 atoms:
Ce 0.000 0.000 0.000
Pu 0.333 0.667 0.518
Ga 0.667 0.333 0.259
Pd 0.667 0.333 0.757



Verdict on stability: #a comes out on top.



#a
A geometry-optimized CePm3Ga4 structure. Source: Alexandria, functional PBE.

## Properties
- SG = P4/mmm (123)
- calculated volume (Å³/atom) = 24.6

a = 3.648 Å, b = 3.648 Å, c = 14.771 Å
α = 90.00°, β = 90.00°, γ = 90.00°
Fractional coordinates of all 8 atoms:
Ce 0.000 0.000 0.000
Pm 0.000 0.000 0.251
Pm 0.000 0.000 0.500
Pm 0.000 0.000 0.749
Ga 0.500 0.500 0.127
Ga 0.500 0.500 0.375
Ga 0.500 0.500 0.625
Ga 0.500 0.500 0.873



#b
A geometry-optimized CePm3Ga4 structure. Source: Alexandria, functional PBE.

## Properties
- SG = Immm (71)
- calculated volume (Å³/atom) = 26.9

a = 9.281 Å, b = 9.281 Å, c = 9.281 Å
α = 157.18°, β = 135.82°, γ = 50.29°
Fractional coordinates of all 8 atoms:
Ce 0.000 0.000 0.000
Pm 0.200 0.700 0.500
Pm 0.500 0.500 0.000
Pm 0.800 0.300 0.500
Ga 0.182 0.870 0.312
Ga 0.443 0.130 0.312
Ga 0.557 0.870 0.688
Ga 0.818 0.130 0.688



Verdict on stability: #a comes out on top.



#a
A geometry-optimized CePm2Ga2 structure. Source: Alexandria, functional PBE.

## Properties
- SG = Immm (71)
- calculated volume (Å³/atom) = 26.6

a = 5.895 Å, b = 5.895 Å, c = 5.895 Å
α = 133.34°, β = 110.87°, γ = 87.56°
Fractional coordinates of all 5 atoms:
Ce 0.000 0.000 0.000
Pm 0.300 0.800 0.500
Pm 0.700 0.200 0.500
Ga 0.301 0.500 0.801
Ga 0.699 0.500 0.199



#b
A geometry-optimized CePm2Ga2 structure. Source: Alexandria, functional PBE.

## Properties
- SG = Ibam (72)
- calculated volume (Å³/atom) = 28.9

a = 7.647 Å, b = 7.647 Å, c = 7.647 Å
α = 111.30°, β = 87.00°, γ = 133.57°
Fractional coordinates of all 10 atoms:
Ce 0.250 0.250 0.000
Ce 0.750 0.750 0.000
Pm 0.148 0.626 0.774
Pm 0.352 0.126 0.478
Pm 0.648 0.874 0.522
Pm 0.852 0.374 0.226
Ga 0.114 0.275 0.389
Ga 0.386 0.775 0.161
Ga 0.614 0.225 0.839
Ga 0.886 0.725 0.611



Verdict on stability: #a comes out on top.



#a
A geometry-optimized CePm2Ga structure. Source: Alexandria, functional PBE.

## Properties
- SG = C2/c (15)
- calculated volume (Å³/atom) = 28.9

a = 6.444 Å, b = 6.444 Å, c = 6.863 Å
α = 106.27°, β = 106.27°, γ = 58.83°
Fractional coordinates of all 8 atoms:
Ce 0.189 0.811 0.750
Ce 0.811 0.189 0.250
Pm 0.266 0.299 0.888
Pm 0.299 0.266 0.388
Pm 0.701 0.734 0.612
Pm 0.734 0.701 0.112
Ga 0.298 0.702 0.250
Ga 0.702 0.298 0.750



#b
A geometry-optimized CePm2Ga structure. Source: Alexandria, functional PBE.

## Properties
- SG = R-3m (166)
- calculated volume (Å³/atom) = 29.8

a = 11.568 Å, b = 11.568 Å, c = 11.568 Å
α = 17.28°, β = 17.28°, γ = 17.28°
Fractional coordinates of all 4 atoms:
Ce 0.000 0.000 0.000
Pm 0.099 0.099 0.099
Pm 0.901 0.901 0.901
Ga 0.500 0.500 0.500



#c
A geometry-optimized CePm2Ga structure. Source: Alexandria, functional PBE.

## Properties
- SG = Fm-3m (225)
- calculated volume (Å³/atom) = 27.0

a = 5.348 Å, b = 5.348 Å, c = 5.348 Å
α = 60.00°, β = 60.00°, γ = 60.00°
Fractional coordinates of all 4 atoms:
Ce 0.000 0.000 0.000
Pm 0.250 0.250 0.250
Pm 0.750 0.750 0.750
Ga 0.500 0.500 0.500



#d
A geometry-optimized CePm2Ga structure. Source: Alexandria, functional PBE.

## Properties
- SG = R3m (160)
- calculated volume (Å³/atom) = 30.7

a = 6.243 Å, b = 6.243 Å, c = 6.243 Å
α = 47.88°, β = 47.88°, γ = 47.88°
Fractional coordinates of all 4 atoms:
Ce 0.000 0.000 0.000
Pm 0.214 0.214 0.214
Pm 0.436 0.436 0.436
Ga 0.804 0.804 0.804



Verdict on stability: #a comes out on top.



#a
A geometry-optimized CePm2Ga4 structure. Source: Alexandria, functional PBE.

## Properties
- SG = I4/mmm (139)
- calculated volume (Å³/atom) = 30.8

a = 8.623 Å, b = 8.623 Å, c = 8.623 Å
α = 144.43°, β = 144.43°, γ = 51.19°
Fractional coordinates of all 7 atoms:
Ce 0.000 0.000 0.000
Pm 0.382 0.382 0.000
Pm 0.618 0.618 0.000
Ga 0.000 0.500 0.500
Ga 0.185 0.185 0.000
Ga 0.500 0.000 0.500
Ga 0.815 0.815 0.000



#b
A geometry-optimized CePm2Ga4 structure. Source: Alexandria, functional PBE.

## Properties
- SG = Immm (71)
- calculated volume (Å³/atom) = 24.5

a = 9.823 Å, b = 9.823 Å, c = 9.823 Å
α = 155.36°, β = 154.28°, γ = 35.92°
Fractional coordinates of all 7 atoms:
Ce 0.000 0.000 0.000
Pm 0.184 0.684 0.500
Pm 0.816 0.316 0.500
Ga 0.357 0.857 0.500
Ga 0.434 0.434 0.000
Ga 0.566 0.566 0.000
Ga 0.643 0.143 0.500



Verdict on stability: #b comes out on top.



#a
A geometry-optimized Ce2Pm2Ga3 structure. Source: Alexandria, functional PBE.

## Properties
- SG = Cmmm (65)
- calculated volume (Å³/atom) = 24.3

a = 12.236 Å, b = 12.236 Å, c = 3.396 Å
α = 90.00°, β = 90.00°, γ = 160.48°
Fractional coordinates of all 7 atoms:
Ce 0.212 0.788 0.000
Ce 0.788 0.212 0.000
Pm 0.073 0.927 0.000
Pm 0.927 0.073 0.000
Ga 0.356 0.644 0.500
Ga 0.500 0.500 0.500
Ga 0.644 0.356 0.500



#b
A geometry-optimized Ce2Pm2Ga3 structure. Source: Alexandria, functional PBE.

## Properties
- SG = C2/m (12)
- calculated volume (Å³/atom) = 27.8

a = 8.085 Å, b = 8.085 Å, c = 8.166 Å
α = 120.29°, β = 120.29°, γ = 25.21°
Fractional coordinates of all 7 atoms:
Ce 0.113 0.113 0.453
Ce 0.887 0.887 0.547
Pm 0.379 0.379 0.111
Pm 0.621 0.621 0.889
Ga 0.000 0.000 0.000
Ga 0.227 0.227 0.246
Ga 0.773 0.773 0.754



Verdict on stability: #a comes out on top.



#a
A geometry-optimized CePmZnGa structure. Source: Alexandria, functional PBE.

## Properties
- SG = P4mm (99)
- calculated volume (Å³/atom) = 24.2

a = 3.592 Å, b = 3.592 Å, c = 7.510 Å
α = 90.00°, β = 90.00°, γ = 90.00°
Fractional coordinates of all 4 atoms:
Ce 0.000 0.000 0.000
Pm 0.000 0.000 0.500
Zn 0.500 0.500 0.253
Ga 0.500 0.500 0.748



#b
A geometry-optimized CePmZnGa structure. Source: Alexandria, functional PBE.

## Properties
- SG = F-43m (216)
- calculated volume (Å³/atom) = 24.3

a = 5.163 Å, b = 5.163 Å, c = 5.163 Å
α = 60.00°, β = 60.00°, γ = 60.00°
Fractional coordinates of all 4 atoms:
Ce 0.000 0.000 0.000
Pm 0.500 0.500 0.500
Zn 0.250 0.250 0.250
Ga 0.750 0.750 0.750



Verdict on stability: #b comes out on top.



#a
A geometry-optimized CePrGa structure. Source: Alexandria, functional PBE.

## Properties
- SG = I4mm (107)
- calculated volume (Å³/atom) = 26.2

a = 5.626 Å, b = 5.626 Å, c = 5.626 Å
α = 138.10°, β = 138.10°, γ = 60.75°
Fractional coordinates of all 3 atoms:
Ce 0.000 0.000 0.000
Pr 0.693 0.693 0.000
Ga 0.350 0.350 0.000



#b
A geometry-optimized CePrGa structure. Source: Alexandria, functional PBE.

## Properties
- SG = C2/m (12)
- calculated volume (Å³/atom) = 27.3

a = 5.928 Å, b = 5.928 Å, c = 6.590 Å
α = 110.36°, β = 110.36°, γ = 49.90°
Fractional coordinates of all 6 atoms:
Ce 0.041 0.041 0.322
Ce 0.959 0.959 0.678
Pr 0.314 0.314 0.852
Pr 0.686 0.686 0.148
Ga 0.368 0.368 0.368
Ga 0.632 0.632 0.632



Verdict on stability: #b comes out on top.